Density functional theory data (PBE with a Hubbard U) for a geometry-optimized BaNaCoO4 structure.

Cell lengths 6.136, 6.136, 6.136 Å; angles 60.00, 60.00, 60.00 degrees
Positions (direct):
Ba  0.750  0.750  0.750
Na  0.500  0.500  0.500
Co  0.250  0.250  0.250
O  0.364  0.364  0.908
O  0.364  0.364  0.364
O  0.364  0.908  0.364
O  0.908  0.364  0.364

size of the total moment: 0.57 μB/atom
density: 2.88 g/cm3
SG: F-43m (216)
uncorrected energy: -35.3 eV/cell